[1]
! K2MnCoBr6, relaxed, DFT PBE; values from VASP
! Formation energy without anion corrections = -0.953 eV per atom
! Energy = -3.80 eV per atom
&SYSTEM
  ibrav = 0, nat = 10, ntyp = 4
/
ATOMIC_SPECIES
K 39.10 K.upf
Mn 54.94 Mn.upf
Co 58.93 Co.upf
Br 79.90 Br.upf
ATOMIC_POSITIONS angstrom
K 0.0000 0.0000 0.0000
K 0.0000 0.0000 8.9030
Mn 0.0000 0.0000 13.4024
Co 0.0000 0.0000 4.4671
Br -2.0606 -0.6828 5.9415
Br -1.6241 -2.8685 8.9575
Br 1.6216 -1.4431 5.9415
Br -1.6722 2.8407 8.9575
Br 0.4390 2.1259 5.9415
Br 3.2962 0.0278 8.9575
CELL_PARAMETERS angstrom
3.7337 2.1557 5.9564
-3.7337 2.1557 5.9564
0.0000 -4.3114 5.9564

[2]
! SbCSe3, relaxed, DFT PBE; values from VASP
! Formation energy without anion corrections = 0.911 eV per atom
! Energy = -3.85 eV per atom
! Energy above the lowest structure with this stoichiometry = 0.000 eV/atom
&SYSTEM
  ibrav = 0, nat = 5, ntyp = 3
/
ATOMIC_SPECIES
Sb 121.76 Sb.upf
C 12.01 C.upf
Se 78.96 Se.upf
ATOMIC_POSITIONS angstrom
Sb 0.0000 0.0000 0.0000
C 2.2615 2.2615 2.2615
Se 0.0000 2.2615 2.2615
Se 2.2615 0.0000 2.2615
Se 2.2615 2.2615 0.0000
CELL_PARAMETERS angstrom
4.5230 0.0000 0.0000
0.0000 4.5230 0.0000
0.0000 0.0000 4.5230